# 1
LaCeTlOs (PBE-GGA, relaxed); symmetry = P4mm (99); crystal system = tetragonal; raw total energy = -6.3402 eV/atom; ΔE_f = -0.226 eV/atom
1.0
-2.642 -0.891 -1.984
1.637 -2.870 -0.892
-3.695 -4.228 6.817
La Ce Tl Os
1 1 1 1
Direct
0.500 0.500 0.776
0.500 0.500 0.371
0.000 0.000 0.079
0.000 0.000 0.559



# 2
LaCeP2 (PBE-GGA, relaxed); symmetry = R-3m (166); crystal system = trigonal; raw total energy = -6.9554 eV/atom; ΔE_f = -1.535 eV/atom
1.0
4.177 0.000 0.000
2.089 3.617 0.000
2.089 1.206 6.838
P Ce La
2 1 1
Direct
0.254 0.254 0.237
0.746 0.746 0.763
0.000 0.000 0.000
0.500 0.500 0.500



# 3
La2CeP3 (PBE-GGA, relaxed); symmetry = I4/mmm (139); crystal system = tetragonal; raw total energy = -6.8701 eV/atom; ΔE_f = -1.534 eV/atom
1.0
6.639 3.503 5.667
1.398 5.911 7.182
-4.486 -6.936 -4.500
La Ce P
2 1 3
Direct
0.667 0.667 0.000
0.333 0.333 0.000
0.000 0.000 0.000
0.500 0.500 0.000
0.838 0.838 0.000
0.162 0.162 0.000



# 4
LaCeP2 (PBE-GGA, relaxed); symmetry = P6_3/mmc (194); crystal system = hexagonal; raw total energy = -6.9251 eV/atom; ΔE_f = -1.505 eV/atom
1.0
-3.430 -2.242 -0.627
3.055 -0.058 -2.801
5.793 -10.694 6.541
La Ce P
2 2 4
Direct
0.667 0.333 0.250
0.333 0.667 0.750
0.000 0.000 0.500
0.000 0.000 0.000
0.333 0.667 0.383
0.667 0.333 0.883
0.667 0.333 0.617
0.333 0.667 0.117



| no. | Fermi-level density of states (states/eV per cell) |
| --- | --- |
| 1 | 4.7 |
| 2 | 5.0 |
| 3 | 7.2 |
| 4 | 9.3 |